(1)
The following is a PBE-GGA calculation of a relaxed structure of Cd2TcAg, from the Alexandria database.

Output
Fermi-level density of states   0.681 states/eV/atom
Electronic total energy   -13.7 eV for the cell shown
ΔH_f (0 K)   0.341 eV per atom

```
data_Cd2TcAg
_chemical_formula_sum 'Cd2 Tc1 Ag1'
_space_group_name_H-M_alt 'P m m 2'
_space_group_IT_number 25
_space_group_name_Hall 'P 2 -2'
_cell_length_a 2.8832
_cell_length_b 4.8917
_cell_length_c 5.1466
_cell_angle_alpha 90.00
_cell_angle_beta 90.00
_cell_angle_gamma 90.00
loop_
_atom_site_label
_atom_site_fract_x
_atom_site_fract_y
_atom_site_fract_z
_atom_site_occupancy
Cd1 0.0000 0.0000 0.0000 1
Cd2 0.0000 0.5000 0.3680 1
Tc1 0.5000 0.5000 0.8666 1
Ag1 0.5000 0.0000 0.5216 1
```

(2)
The following is a PBE-GGA calculation of a relaxed structure of AlGaMo2C, from the Alexandria database.

Output
Fermi-level density of states   1.219 states/eV/atom
Electronic total energy   -25.1 eV for the cell shown
ΔH_f (0 K)   2.507 eV per atom

```
data_AlGaMo2C
_chemical_formula_sum 'Al1 Ga1 Mo2 C1'
_space_group_name_H-M_alt 'P 4/m m m'
_space_group_IT_number 123
_space_group_name_Hall '-P 4 2'
_cell_length_a 4.7178
_cell_length_b 4.7178
_cell_length_c 4.3735
_cell_angle_alpha 90.00
_cell_angle_beta 90.00
_cell_angle_gamma 90.00
loop_
_atom_site_label
_atom_site_fract_x
_atom_site_fract_y
_atom_site_fract_z
_atom_site_occupancy
Al1 0.0000 0.0000 0.0000 1
Ga1 0.0000 0.0000 0.5000 1
Mo1 0.0000 0.5000 0.5000 1
C1 0.5000 0.5000 0.0000 1
```

Q: Which value of ΔH_f (0 K) does entry 2 give?
A: 2.507 eV per atom

What did the first record say?
The following is a PBE-GGA calculation of a relaxed structure of Cd2TcAg, from the Alexandria database.

Output
Fermi-level density of states   0.681 states/eV/atom
Electronic total energy   -13.7 eV for the cell shown
ΔH_f (0 K)   0.341 eV per atom

```
data_Cd2TcAg
_chemical_formula_sum 'Cd2 Tc1 Ag1'
_space_group_name_H-M_alt 'P m m 2'
_space_group_IT_number 25
_space_group_name_Hall 'P 2 -2'
_cell_length_a 2.8832
_cell_length_b 4.8917
_cell_length_c 5.1466
_cell_angle_alpha 90.00
_cell_angle_beta 90.00
_cell_angle_gamma 90.00
loop_
_atom_site_label
_atom_site_fract_x
_atom_site_fract_y
_atom_site_fract_z
_atom_site_occupancy
Cd1 0.0000 0.0000 0.0000 1
Cd2 0.0000 0.5000 0.3680 1
Tc1 0.5000 0.5000 0.8666 1
Ag1 0.5000 0.0000 0.5216 1
```

What did the second record say?
The following is a PBE-GGA calculation of a relaxed structure of AlGaMo2C, from the Alexandria database.

Output
Fermi-level density of states   1.219 states/eV/atom
Electronic total energy   -25.1 eV for the cell shown
ΔH_f (0 K)   2.507 eV per atom

```
data_AlGaMo2C
_chemical_formula_sum 'Al1 Ga1 Mo2 C1'
_space_group_name_H-M_alt 'P 4/m m m'
_space_group_IT_number 123
_space_group_name_Hall '-P 4 2'
_cell_length_a 4.7178
_cell_length_b 4.7178
_cell_length_c 4.3735
_cell_angle_alpha 90.00
_cell_angle_beta 90.00
_cell_angle_gamma 90.00
loop_
_atom_site_label
_atom_site_fract_x
_atom_site_fract_y
_atom_site_fract_z
_atom_site_occupancy
Al1 0.0000 0.0000 0.0000 1
Ga1 0.0000 0.0000 0.5000 1
Mo1 0.0000 0.5000 0.5000 1
C1 0.5000 0.5000 0.0000 1
```